Computed, not measured: a relaxed structure of Ca2Ti2Au at the PBE level of DFT.

a b c (Å): 4.1603 4.1603 7.6197
angles (deg): 74.16 74.16 90.00
Sites, in units of the cell vectors:
1 Ca 0.7500 0.2500 0.5000
2 Ca 0.2500 0.7500 0.5000
3 Au 0.0000 0.0000 0.0000
4 Ti 0.4288 0.4288 0.1424
5 Ti 0.5712 0.5712 0.8576

Distance to the lowest polymorph of the same formula = 2.549 eV/f.u.
VASP energy = -3.95 eV per atom
DOS(E_F) = 1.31 states/eV/atom
Formation energy from the elements = 667 meV/atom

=====

Computed, not measured: a relaxed structure of CaTiVAu2 at the PBE level of DFT.

a b c (Å): 5.0884 4.9174 5.0884
angles (deg): 90.00 90.00 90.00
Sites, in units of the cell vectors:
1 Ca 0.0000 0.0000 0.0000
2 Ti 0.5000 0.5000 0.5000
3 Au 0.0000 0.0000 0.5000
4 Au 0.5000 0.0000 0.0000
5 V 0.0000 0.5000 0.0000

VASP energy = -3.85 eV per atom
DOS(E_F) = 0.88 states/eV/atom
Formation energy from the elements = 1260 meV/atom

=====

Computed, not measured: a relaxed structure of Ca6TlAu2 at the PBE level of DFT.

a b c (Å): 9.0118 9.0118 9.0118
angles (deg): 102.98 110.89 114.76
Sites, in units of the cell vectors:
1 Ca 0.4683 0.2880 0.1803
2 Ca 0.5317 0.7120 0.8197
3 Ca 0.8923 0.7120 0.1803
4 Ca 0.1077 0.2880 0.8197
5 Ca 0.1945 0.7581 0.9526
6 Ca 0.8055 0.2419 0.0474
7 Ca 0.8055 0.7581 0.5635
8 Ca 0.1945 0.2419 0.4365
9 Ca 0.3046 0.9678 0.6632
10 Ca 0.6954 0.0322 0.3368
11 Ca 0.6954 0.3586 0.6632
12 Ca 0.3046 0.6414 0.3368
13 Tl 0.0000 0.5000 0.5000
14 Tl 0.0000 0.0000 0.0000
15 Au 0.5000 0.3669 0.8669
16 Au 0.5000 0.6331 0.1331
17 Au 0.3345 0.0000 0.3345
18 Au 0.6655 0.0000 0.6655

VASP energy = -2.84 eV per atom
DOS(E_F) = 0.82 states/eV/atom
Formation energy from the elements = -515 meV/atom

=====

Computed, not measured: a relaxed structure of Ca2TlAu at the PBE level of DFT.

a b c (Å): 4.0902 4.0902 8.7783
angles (deg): 76.53 76.53 60.00
Sites, in units of the cell vectors:
1 Ca 0.0726 0.0726 0.7823
2 Ca 0.2609 0.2609 0.2173
3 Tl 0.5001 0.5001 0.4996
4 Au 0.6664 0.6664 0.0008

Distance to the lowest polymorph of the same formula = 0.463 eV/f.u.
VASP energy = -2.89 eV per atom
DOS(E_F) = 0.61 states/eV/atom
Formation energy from the elements = -478 meV/atom

=====

- Which value of VASP energy does entry 3 give?
  -2.84 eV per atom

=====

- Look up the formation energy from the elements of the first one.
  667 meV/atom